1.
# Be2AlSb (GGA-PBE, optimized geometry)
data_Be2AlSb
_space_group_name_H-M_alt 'I 4/m m m'
_space_group_IT_number 139
_space_group_name_Hall '-I 4 2'
_cell_length_a 4.1223
_cell_length_b 4.1223
_cell_length_c 7.3361
_cell_angle_alpha 90.00
_cell_angle_beta 90.00
_cell_angle_gamma 90.00
loop_
_atom_site_label
_atom_site_fract_x
_atom_site_fract_y
_atom_site_fract_z
_atom_site_occupancy
Be1 0.0000 0.5000 0.2500 1
Al1 0.0000 0.0000 0.0000 1
Sb1 0.0000 0.0000 0.5000 1
# **Energy relative to the lowest polymorph listed for this composition**: 308 meV/atom
# **Energy relative to the elements, uncorrected**: 2.30 eV/f.u.
# **V**: 125 Å³ per cell



2.
# Be2Al2Sb (GGA-PBE, optimized geometry)
data_Be2Al2Sb
_space_group_name_H-M_alt 'P 4/m b m'
_space_group_IT_number 127
_space_group_name_Hall '-P 4 2ab'
_cell_length_a 7.5924
_cell_length_b 7.5924
_cell_length_c 2.7962
_cell_angle_alpha 90.00
_cell_angle_beta 90.00
_cell_angle_gamma 90.00
loop_
_atom_site_label
_atom_site_fract_x
_atom_site_fract_y
_atom_site_fract_z
_atom_site_occupancy
Be1 0.1694 0.3306 0.0000 1
Al1 0.1261 0.6261 0.5000 1
Sb1 0.0000 0.0000 0.5000 1
# **Energy relative to the lowest polymorph listed for this composition**: 75 meV/atom
# **Energy relative to the elements, uncorrected**: 2.21 eV/f.u.
# **V**: 161 Å³ per cell